Compound: HfSeOF2
Source: Alexandria via LeMat-Bulk
Functional: GGA-PBE
Structure: optimized geometry

abc: 4.7869 4.7869 3.6788
angles: 90.00 90.00 90.00
Last column: nearest neighbours and their distance in Å.
Sites, in units of the cell vectors:
Hf 0.5000 0.5000 0.5000  8 F 3.02
O 0.0000 0.0000 0.5000  2 Se 1.84
Se 0.0000 0.0000 0.0000  2 O 1.84
F 0.0000 0.5000 0.0000  2 Se 2.39
F 0.5000 0.0000 0.0000  2 Se 2.39

Space-group type ... P4/mmm (123)
Density of states at the Fermi level ... 0.968 states/eV/atom
Calculated density ... 6.1 g/cm³
Energy above the most stable polymorph in this dataset ... 944.8 kJ/mol of formula units
Final energy ... -4.686 eV/atom
Total moment ... 1.34 μB per cell
Formation energy (no corrections) ... -1.29 eV/f.u.

=====

Compound: HfSe2OF
Source: Alexandria via LeMat-Bulk
Functional: GGA-PBE
Structure: optimized geometry

abc: 5.3210 3.9499 5.3210
angles: 90.00 90.00 90.00
Last column: nearest neighbours and their distance in Å.
Sites, in units of the cell vectors:
Hf 0.0000 0.0000 0.0000  2 O 1.97
O 0.0000 0.5000 0.0000  2 Hf 1.97
Se 0.0000 0.0000 0.5000  2 Hf 2.66
Se 0.5000 0.0000 0.0000  2 Hf 2.66
F 0.5000 0.5000 0.5000  8 Se 3.31

Space-group type ... P4/mmm (123)
Density of states at the Fermi level ... 0.372 states/eV/atom
Calculated density ... 5.5 g/cm³
Final energy ... -5.743 eV/atom
Total moment ... 2.94 μB per cell
Formation energy (no corrections) ... -4.97 eV/f.u.

=====

Compound: HfSeOF2
Source: Alexandria via LeMat-Bulk
Functional: GGA-PBE
Structure: optimized geometry

abc: 4.2957 4.2957 4.0563
angles: 90.00 90.00 90.00
Last column: nearest neighbours and their distance in Å.
Sites, in units of the cell vectors:
Hf 0.0000 0.0000 0.0000  2 O 2.03, 4 F 2.15
O 0.0000 0.0000 0.5000  2 Hf 2.03
Se 0.5000 0.5000 0.5000  8 F 2.95, 4 O 3.04
F 0.0000 0.5000 0.0000  2 Hf 2.15
F 0.5000 0.0000 0.0000  2 Hf 2.15

Space-group type ... P4/mmm (123)
Density of states at the Fermi level ... 0.323 states/eV/atom
Calculated density ... 6.9 g/cm³
Energy above the most stable polymorph in this dataset ... 0.0 kJ/mol of formula units
Final energy ... -6.645 eV/atom
Total moment ... 2.00 μB per cell
Formation energy (no corrections) ... -11.09 eV/f.u.

=====

Compound: HfSiOF2
Source: Alexandria via LeMat-Bulk
Functional: GGA-PBE
Structure: optimized geometry

abc: 4.6274 4.6274 3.3151
angles: 90.00 90.00 90.00
Last column: nearest neighbours and their distance in Å.
Sites, in units of the cell vectors:
Si 0.0000 0.0000 0.0000  2 O 1.66
Hf 0.5000 0.5000 0.5000  8 F 2.85
O 0.0000 0.0000 0.5000  2 Si 1.66
F 0.0000 0.5000 0.0000  2 Si 2.31
F 0.5000 0.0000 0.0000  2 Si 2.31

Space-group type ... P4/mmm (123)
Density of states at the Fermi level ... 0.748 states/eV/atom
Calculated density ... 6.1 g/cm³
Energy above the most stable polymorph in this dataset ... 449.4 kJ/mol of formula units
Final energy ... -5.794 eV/atom
Total moment ... 0.81 μB per cell
Formation energy (no corrections) ... -4.89 eV/f.u.

=====

Compound: HfSiO2F
Source: Alexandria via LeMat-Bulk
Functional: GGA-PBE
Structure: optimized geometry

abc: 3.3425 3.3425 6.3645
angles: 90.00 90.00 90.00
Last column: nearest neighbours and their distance in Å.
Sites, in units of the cell vectors:
Si 0.0000 0.0000 0.0000  4 O 1.67
Hf 0.5000 0.5000 0.5000  4 F 2.36
O 0.0000 0.5000 0.0000  2 Si 1.67
O 0.5000 0.0000 0.0000  2 Si 1.67
F 0.0000 0.0000 0.5000  4 Hf 2.36

Space-group type ... P4/mmm (123)
Density of states at the Fermi level ... 0.427 states/eV/atom
Calculated density ... 6.0 g/cm³
Final energy ... -6.628 eV/atom
Total moment ... 1.66 μB per cell
Formation energy (no corrections) ... -5.97 eV/f.u.

=====

Compound: HfSiOF2
Source: Alexandria via LeMat-Bulk
Functional: GGA-PBE
Structure: optimized geometry

abc: 4.2950 4.2950 4.0338
angles: 90.00 90.00 90.00
Last column: nearest neighbours and their distance in Å.
Sites, in units of the cell vectors:
Si 0.5000 0.5000 0.5000  8 F 2.95, 4 O 3.04
Hf 0.0000 0.0000 0.0000  2 O 2.02, 4 F 2.15
O 0.0000 0.0000 0.5000  2 Hf 2.02
F 0.0000 0.5000 0.0000  2 Hf 2.15
F 0.5000 0.0000 0.0000  2 Hf 2.15

Space-group type ... P4/mmm (123)
Density of states at the Fermi level ... 0.537 states/eV/atom
Calculated density ... 5.8 g/cm³
Energy above the most stable polymorph in this dataset ... 0.0 kJ/mol of formula units
Final energy ... -6.725 eV/atom
Total moment ... 0.00 μB per cell
Formation energy (no corrections) ... -9.55 eV/f.u.

=====

Question: The lowest density of states at the Fermi level belongs to which entry?
Answer: number 3

=====

Please write out number 5 again, unchanged.
Compound: HfSiO2F
Source: Alexandria via LeMat-Bulk
Functional: GGA-PBE
Structure: optimized geometry

abc: 3.3425 3.3425 6.3645
angles: 90.00 90.00 90.00
Last column: nearest neighbours and their distance in Å.
Sites, in units of the cell vectors:
Si 0.0000 0.0000 0.0000  4 O 1.67
Hf 0.5000 0.5000 0.5000  4 F 2.36
O 0.0000 0.5000 0.0000  2 Si 1.67
O 0.5000 0.0000 0.0000  2 Si 1.67
F 0.0000 0.0000 0.5000  4 Hf 2.36

Space-group type ... P4/mmm (123)
Density of states at the Fermi level ... 0.427 states/eV/atom
Calculated density ... 6.0 g/cm³
Final energy ... -6.628 eV/atom
Total moment ... 1.66 μB per cell
Formation energy (no corrections) ... -5.97 eV/f.u.

=====

Question: Which value of final energy does entry 1 give?
Answer: -4.686 eV/atom

=====

Question: Which formula does entry 3 have?
Answer: HfSeOF2